No. 1
La5Dy2 | GGA-PBE | relaxed

Calculated values
**Calculated total energy**: -4.743 eV per atom
**Energy of formation**: 0.09 eV per atom

a = 5.799 Å, b = 5.799 Å, c = 9.034 Å
α = 92.68°, β = 106.84°, γ = 118.40°
Element x y z (fractional)
1 La 0.139 0.074 0.712
2 La 0.861 0.926 0.288
3 La 0.310 0.661 0.471
4 La 0.690 0.339 0.529
5 La 0.000 0.500 0.000
6 Dy 0.413 0.202 0.115
7 Dy 0.587 0.798 0.885

---

No. 2
La2Dy | GGA-PBE | relaxed

Calculated values
**Calculated total energy**: -4.792 eV per atom
**Energy of formation**: 0.03 eV per atom

a = 3.672 Å, b = 3.672 Å, c = 18.210 Å
α = 84.21°, β = 84.21°, γ = 60.00°
Element x y z (fractional)
1 La 0.804 0.804 0.589
2 La 0.196 0.196 0.411
3 La 0.362 0.362 0.914
4 La 0.638 0.638 0.086
5 Dy 0.917 0.917 0.249
6 Dy 0.083 0.083 0.751

---

No. 3
La4Dy | GGA-PBE | relaxed

Calculated values
**Calculated total energy**: -4.767 eV per atom
**Energy of formation**: 0.10 eV per atom

a = 3.804 Å, b = 7.143 Å, c = 7.143 Å
α = 85.93°, β = 74.56°, γ = 74.56°
Element x y z (fractional)
1 La 0.211 0.198 0.379
2 La 0.590 0.621 0.198
3 La 0.789 0.802 0.621
4 La 0.410 0.379 0.802
5 Dy 0.000 0.000 0.000

---

No. 4
La4Dy5 | GGA-PBE | relaxed

Calculated values
**Calculated total energy**: -4.710 eV per atom
**Energy of formation**: 0.04 eV per atom

a = 3.735 Å, b = 9.263 Å, c = 9.263 Å
α = 92.12°, β = 78.41°, γ = 78.41°
Element x y z (fractional)
1 La 0.358 0.621 0.664
2 La 0.358 0.997 0.287
3 La 0.642 0.713 0.003
4 La 0.642 0.336 0.379
5 Dy 0.000 0.042 0.958
6 Dy 0.000 0.291 0.709
7 Dy 0.000 0.667 0.333
8 Dy 0.298 0.369 0.036
9 Dy 0.702 0.964 0.631

---

No. 5
La6Dy7 | GGA-PBE | relaxed

Calculated values
**Calculated total energy**: -4.518 eV per atom
**Energy of formation**: 0.23 eV per atom

a = 6.736 Å, b = 6.736 Å, c = 12.276 Å
α = 74.08°, β = 74.08°, γ = 60.00°
Element x y z (fractional)
1 La 0.947 0.947 0.158
2 La 0.053 0.053 0.842
3 La 0.841 0.841 0.477
4 La 0.159 0.159 0.523
5 La 0.666 0.666 0.001
6 La 0.334 0.334 0.999
7 Dy 0.414 0.915 0.256
8 Dy 0.414 0.414 0.256
9 Dy 0.915 0.414 0.256
10 Dy 0.586 0.085 0.744
11 Dy 0.085 0.586 0.744
12 Dy 0.586 0.586 0.744
13 Dy 0.500 0.500 0.500

---

No. 6
La7Dy3 | GGA-PBE | relaxed

Calculated values
**Calculated total energy**: -4.755 eV per atom
**Energy of formation**: 0.07 eV per atom

a = 5.943 Å, b = 7.256 Å, c = 8.944 Å
α = 100.47°, β = 109.41°, γ = 90.00°
Element x y z (fractional)
1 La 0.000 0.500 0.000
2 La 0.191 0.231 0.381
3 La 0.809 0.769 0.619
4 La 0.397 0.090 0.793
5 La 0.603 0.910 0.207
6 La 0.382 0.575 0.765
7 La 0.618 0.425 0.235
8 Dy 0.000 0.000 0.000
9 Dy 0.196 0.748 0.392
10 Dy 0.804 0.252 0.608

---

No. 7
La2Dy3 | GGA-PBE | relaxed

Calculated values
**Calculated total energy**: -4.608 eV per atom
**Energy of formation**: 0.12 eV per atom

a = 6.326 Å, b = 6.638 Å, c = 9.368 Å
α = 110.75°, β = 109.73°, γ = 90.00°
Element x y z (fractional)
1 La 0.190 0.328 0.380
2 La 0.810 0.672 0.620
3 La 0.310 0.948 0.620
4 La 0.690 0.052 0.380
5 Dy 0.750 0.000 0.000
6 Dy 0.250 0.000 0.000
7 Dy 0.909 0.295 0.817
8 Dy 0.591 0.477 0.183
9 Dy 0.409 0.523 0.817
10 Dy 0.091 0.705 0.183

---

No. 8
La2Dy | GGA-PBE | relaxed

Calculated values
**Calculated total energy**: -4.788 eV per atom
**Energy of formation**: 0.03 eV per atom

a = 3.703 Å, b = 3.703 Å, c = 8.147 Å
α = 103.14°, β = 103.14°, γ = 90.00°
Element x y z (fractional)
1 La 0.664 0.664 0.328
2 La 0.336 0.336 0.672
3 Dy 0.000 0.000 0.000

---

No. 9
La3Dy5 | GGA-PBE | relaxed

Calculated values
**Calculated total energy**: -4.695 eV per atom
**Energy of formation**: 0.03 eV per atom

a = 3.643 Å, b = 3.643 Å, c = 20.261 Å
α = 90.00°, β = 90.00°, γ = 90.00°
Element x y z (fractional)
1 La 0.500 0.500 0.126
2 La 0.500 0.500 0.874
3 La 0.000 0.000 0.500
4 Dy 0.000 0.000 0.253
5 Dy 0.500 0.500 0.627
6 Dy 0.500 0.500 0.373
7 Dy 0.000 0.000 0.747
8 Dy 0.000 0.000 0.000

---

No. 10
LaDy5 | GGA-PBE | relaxed

Calculated values
**Calculated total energy**: -4.628 eV per atom
**Energy of formation**: 0.03 eV per atom

a = 5.064 Å, b = 5.056 Å, c = 8.018 Å
α = 108.38°, β = 90.00°, γ = 90.00°
Element x y z (fractional)
1 La 0.000 0.000 0.000
2 Dy 0.500 0.832 0.664
3 Dy 0.000 0.669 0.339
4 Dy 0.500 0.500 0.000
5 Dy 0.000 0.331 0.661
6 Dy 0.500 0.168 0.336

---

No. 11
LaDy | GGA-PBE | relaxed

Calculated values
**Calculated total energy**: -4.679 eV per atom
**Energy of formation**: 0.09 eV per atom

a = 4.107 Å, b = 4.107 Å, c = 4.107 Å
α = 90.00°, β = 90.00°, γ = 90.00°
Element x y z (fractional)
1 La 0.500 0.500 0.500
2 Dy 0.000 0.000 0.000

---

No. 12
La4Dy5 | GGA-PBE | relaxed

Calculated values
**Calculated total energy**: -4.719 eV per atom
**Energy of formation**: 0.03 eV per atom

a = 5.149 Å, b = 8.113 Å, c = 8.113 Å
α = 84.22°, β = 71.50°, γ = 71.50°
Element x y z (fractional)
1 La 0.667 0.000 0.666
2 La 0.333 0.334 0.000
3 La 0.333 0.000 0.334
4 La 0.667 0.666 0.000
5 Dy 0.664 0.336 0.336
6 Dy 0.336 0.664 0.664
7 Dy 0.000 0.000 0.000
8 Dy 0.000 0.664 0.336
9 Dy 0.000 0.336 0.664

---

No. 13
La8Dy | GGA-PBE | relaxed

Calculated values
**Calculated total energy**: -4.879 eV per atom
**Energy of formation**: 0.01 eV per atom

a = 5.271 Å, b = 8.274 Å, c = 8.274 Å
α = 84.18°, β = 71.42°, γ = 71.42°
Element x y z (fractional)
1 La 0.334 0.000 0.333
2 La 0.666 0.000 0.667
3 La 0.666 0.667 0.000
4 La 0.000 0.668 0.332
5 La 0.332 0.668 0.668
6 La 0.668 0.332 0.332
7 La 0.000 0.332 0.668
8 La 0.334 0.333 0.000
9 Dy 0.000 0.000 0.000

---

No. 14
LaDy | GGA-PBE | relaxed

Calculated values
**Calculated total energy**: -4.719 eV per atom
**Energy of formation**: 0.05 eV per atom

a = 3.687 Å, b = 3.687 Å, c = 5.857 Å
α = 90.00°, β = 90.00°, γ = 120.00°
Element x y z (fractional)
1 La 0.000 0.000 0.000
2 Dy 0.333 0.667 0.500

---

No. 15
La3Dy2 | GGA-PBE | relaxed

Calculated values
**Calculated total energy**: -4.777 eV per atom
**Energy of formation**: 0.02 eV per atom

a = 3.657 Å, b = 3.657 Å, c = 15.089 Å
α = 83.04°, β = 83.04°, γ = 60.00°
Element x y z (fractional)
1 La 0.098 0.098 0.707
2 La 0.500 0.500 0.500
3 La 0.902 0.902 0.293
4 Dy 0.302 0.302 0.095
5 Dy 0.698 0.698 0.905

---

No. 16
La3Dy5 | GGA-PBE | relaxed

Calculated values
**Calculated total energy**: -4.697 eV per atom
**Energy of formation**: 0.03 eV per atom

a = 5.165 Å, b = 7.208 Å, c = 7.208 Å
α = 91.28°, β = 90.00°, γ = 90.00°
Element x y z (fractional)
1 La 0.000 0.500 0.500
2 La 0.500 0.754 0.246
3 La 0.500 0.246 0.754
4 Dy 0.000 0.000 0.000
5 Dy 0.000 0.000 0.500
6 Dy 0.000 0.500 0.000
7 Dy 0.500 0.250 0.250
8 Dy 0.500 0.750 0.750

---

No. 17
LaDy8 | GGA-PBE | relaxed

Calculated values
**Calculated total energy**: -4.614 eV per atom
**Energy of formation**: 0.02 eV per atom

a = 5.040 Å, b = 7.980 Å, c = 7.980 Å
α = 84.28°, β = 71.59°, γ = 71.59°
Element x y z (fractional)
1 La 0.000 0.000 0.000
2 Dy 0.332 0.000 0.337
3 Dy 0.668 0.000 0.663
4 Dy 0.668 0.663 0.000
5 Dy 0.000 0.665 0.335
6 Dy 0.335 0.665 0.665
7 Dy 0.665 0.335 0.335
8 Dy 0.000 0.335 0.665
9 Dy 0.332 0.337 0.000

---

No. 18
La4Dy | GGA-PBE | relaxed

Calculated values
**Calculated total energy**: -4.843 eV per atom
**Energy of formation**: 0.02 eV per atom

a = 3.713 Å, b = 3.713 Å, c = 13.218 Å
α = 98.07°, β = 98.07°, γ = 90.00°
Element x y z (fractional)
1 La 0.597 0.597 0.194
2 La 0.198 0.198 0.396
3 La 0.802 0.802 0.604
4 La 0.403 0.403 0.806
5 Dy 0.000 0.000 0.000

---

No. 19
La2Dy | GGA-PBE | relaxed

Calculated values
**Calculated total energy**: -4.575 eV per atom
**Energy of formation**: 0.24 eV per atom

a = 6.715 Å, b = 6.715 Å, c = 6.715 Å
α = 60.00°, β = 60.00°, γ = 60.00°
Element x y z (fractional)
1 La 0.125 0.625 0.625
2 La 0.625 0.125 0.625
3 La 0.625 0.625 0.625
4 La 0.625 0.625 0.125
5 Dy 0.000 0.000 0.000
6 Dy 0.250 0.250 0.250

---

No. 20
La3Dy13 | GGA-PBE | relaxed

Calculated values
**Calculated total energy**: -4.640 eV per atom
**Energy of formation**: 0.02 eV per atom

a = 7.160 Å, b = 7.160 Å, c = 10.143 Å
α = 90.00°, β = 90.00°, γ = 90.26°
Element x y z (fractional)
1 La 0.001 0.999 0.250
2 La 0.747 0.253 0.000
3 La 0.001 0.999 0.750
4 Dy 0.499 0.000 0.252
5 Dy 0.498 0.502 0.253
6 Dy 0.000 0.501 0.252
7 Dy 0.748 0.748 0.000
8 Dy 0.252 0.252 0.000
9 Dy 0.253 0.747 0.000
10 Dy 0.499 0.000 0.748
11 Dy 0.498 0.502 0.747
12 Dy 0.000 0.501 0.748
13 Dy 0.748 0.252 0.500
14 Dy 0.748 0.747 0.500
15 Dy 0.253 0.252 0.500
16 Dy 0.253 0.747 0.500

---

No. 21
LaDy3 | GGA-PBE | relaxed

Calculated values
**Calculated total energy**: -4.650 eV per atom
**Energy of formation**: 0.03 eV per atom

a = 5.113 Å, b = 5.113 Å, c = 6.208 Å
α = 114.32°, β = 114.32°, γ = 90.00°
Element x y z (fractional)
1 La 0.000 0.000 0.000
2 Dy 0.750 0.250 0.500
3 Dy 0.250 0.750 0.500
4 Dy 0.500 0.500 0.000

---

No. 22
La4Dy | GGA-PBE | relaxed

Calculated values
**Calculated total energy**: -4.301 eV per atom
**Energy of formation**: 0.56 eV per atom

a = 5.941 Å, b = 5.941 Å, c = 5.941 Å
α = 90.00°, β = 90.00°, γ = 90.00°
Last column: magnetic moment on the atom in μB.
Element x y z (fractional)
1 La 0.000 0.000 0.000  0.02
2 La 0.500 0.000 0.500  0.06
3 La 0.000 0.500 0.500  0.06
4 La 0.500 0.500 0.000  0.06
5 Dy 0.500 0.500 0.500  0.23

---

No. 23
La2Dy | GGA-PBE | relaxed

Calculated values
**Calculated total energy**: -4.788 eV per atom
**Energy of formation**: 0.03 eV per atom

a = 3.670 Å, b = 3.670 Å, c = 9.309 Å
α = 78.63°, β = 78.63°, γ = 60.00°
Element x y z (fractional)
1 La 0.775 0.775 0.676
2 La 0.225 0.225 0.324
3 Dy 0.000 0.000 0.000

---

No. 24
LaDy3 | GGA-PBE | relaxed

Calculated values
**Calculated total energy**: -4.654 eV per atom
**Energy of formation**: 0.03 eV per atom

a = 3.674 Å, b = 6.279 Å, c = 6.813 Å
α = 117.44°, β = 105.64°, γ = 90.00°
Element x y z (fractional)
1 La 0.000 0.994 0.000
2 Dy 0.247 0.582 0.493
3 Dy 0.500 0.501 0.000
4 Dy 0.753 0.089 0.507

---

No. 25
La7Dy | GGA-PBE | relaxed

Calculated values
**Calculated total energy**: -4.877 eV per atom
**Energy of formation**: 0.01 eV per atom

a = 7.422 Å, b = 7.422 Å, c = 7.422 Å
α = 60.00°, β = 60.00°, γ = 60.00°
Element x y z (fractional)
1 La 0.500 0.500 0.000
2 La 0.500 0.000 0.500
3 La 0.000 0.500 0.500
4 La 0.500 0.000 0.000
5 La 0.000 0.500 0.000
6 La 0.000 0.000 0.500
7 La 0.500 0.500 0.500
8 Dy 0.000 0.000 0.000

---

No. 26
La3Dy4 | GGA-PBE | relaxed

Calculated values
**Calculated total energy**: -4.662 eV per atom
**Energy of formation**: 0.08 eV per atom

a = 7.151 Å, b = 9.087 Å, c = 9.087 Å
α = 113.38°, β = 105.21°, γ = 105.21°
Element x y z (fractional)
1 La 0.105 0.601 0.879
2 La 0.226 0.121 0.722
3 La 0.504 0.278 0.399
4 La 0.895 0.399 0.121
5 La 0.774 0.879 0.278
6 La 0.496 0.722 0.601
7 Dy 0.500 0.000 0.000
8 Dy 0.000 0.000 0.000
9 Dy 0.939 0.688 0.543
10 Dy 0.396 0.457 0.145
11 Dy 0.251 0.855 0.312
12 Dy 0.061 0.312 0.457
13 Dy 0.604 0.543 0.855
14 Dy 0.749 0.145 0.688